1.
The following is a DFT calculation (GGA-PBEsol) of a geometry-optimized BaTlBr3 structure.

a = 5.8553 Å, b = 5.8553 Å, c = 5.8553 Å
α = 90.00°, β = 90.00°, γ = 90.00°
With the nearest neighbours (Å) after each atom.
Space group Pm-3m (No. 221)
Symmetry-distinct sites (fractional):
Ba (0.0000, 0.0000, 0.0000)  12 Br 4.14
Tl (0.5000, 0.5000, 0.5000)  6 Br 2.93
Br (0.0000, 0.5000, 0.5000)  2 Tl 2.93

Energy   -3.1983 eV/atom

2.
The following is a DFT calculation (GGA-PBEsol) of a geometry-optimized Ba2TlBr2 structure.

a = 4.9710 Å, b = 4.9710 Å, c = 16.3235 Å
α = 90.00°, β = 90.00°, γ = 90.00°
With the nearest neighbours (Å) after each atom.
Space group I4/mmm (No. 139)
Symmetry-distinct sites (fractional):
Ba (0.0000, 0.0000, 0.1265)  4 Br 3.20
Tl (0.0000, 0.0000, 0.5000)  8 Ba 4.08
Br (0.0000, 0.5000, 0.2500)  4 Ba 3.20, 4 Br 3.52

Energy   -3.3528 eV/atom

3.
The following is a DFT calculation (GGA-PBEsol) of a geometry-optimized BaTl2Br structure.

a = 6.3771 Å, b = 10.8996 Å, c = 3.8827 Å
α = 90.00°, β = 90.00°, γ = 90.00°
With the nearest neighbours (Å) after each atom.
Space group Cmmm (No. 65)
Symmetry-distinct sites (fractional):
Ba (0.0000, 0.0000, 0.0000)  2 Br 3.19
Tl (0.2500, 0.2500, 0.5000)  2 Tl 3.19
Br (0.0000, 0.5000, 0.0000)  2 Ba 3.19

Energy   -2.8573 eV/atom
Excess energy over the best structure of this formula in the dataset   170 meV per atom

4.
The following is a DFT calculation (GGA-PBEsol) of a geometry-optimized BaTl2Br structure.

a = 4.0409 Å, b = 5.8199 Å, c = 6.1279 Å
α = 90.00°, β = 90.00°, γ = 90.00°
With the nearest neighbours (Å) after each atom.
Space group Pmmm (No. 47)
Symmetry-distinct sites (fractional):
Ba (0.0000, 0.0000, 0.0000)  2 Br 3.06
Tl (0.5000, 0.5000, 0.2487)  2 Tl 3.05-3.08
Br (0.0000, 0.0000, 0.5000)  2 Ba 3.06

Energy   -2.8578 eV/atom
Excess energy over the best structure of this formula in the dataset   170 meV per atom

Calculated raw formation energy in order - -1.121; -1.219; -0.537; -0.538 eV/atom
Calculated V in order - 200.7; 403.4; 269.9; 144.1 Å³/cell